Computed, not measured: crystalline PtSe2S at its relaxed geometry at the PBE-GGA level of DFT.

Values from the calculation:
The calculation puts the total energy at -0.158 Ha/atom. For the energy relative to the elements, uncorrected, the calculation gives -0.018 eV/atom. As for the space group: No. 166.

Unit cell a=7.601 b=7.601 c=7.601 alpha=29.45 beta=29.45 gamma=29.45
Fractional coordinates of all 4 atoms:
1 S 0.000 0.000 0.000
2 Se 0.892 0.892 0.892
3 Se 0.108 0.108 0.108
4 Pt 0.500 0.500 0.500


Computed, not measured: crystalline KSr2Ir at its relaxed geometry at the PBE-GGA level of DFT.

Values from the calculation:
The calculation puts the total energy at -0.118 Ha/atom. The calculation puts the energy above the most stable polymorph in this dataset at 120.3 meV per atom. As for the formation energy: 0.125 eV/atom. As for the space group: No. 44.

Unit cell a=9.498 b=9.498 c=9.498 alpha=157.28 beta=150.00 gamma=37.96
Fractional coordinates of all 4 atoms:
1 Ir 0.518 0.518 0.000
2 K 0.339 0.839 0.500
3 Sr 0.996 0.996 0.000
4 Sr 0.647 0.147 0.500


Computed, not measured: crystalline MgPaSe2 at its relaxed geometry at the PBE-GGA level of DFT.

Values from the calculation:
The calculation puts the total energy at -0.198 Ha/atom. The calculation puts the energy above the most stable polymorph in this dataset at 190.8 meV per atom. For the energy relative to the elements, uncorrected, the calculation gives -0.861 eV/atom. As for the space group: No. 166.

Unit cell a=3.895 b=3.895 c=9.240 alpha=77.83 beta=77.83 gamma=60.00
Each line ends with the local moment (μB).
Fractional coordinates of all 4 atoms:
1 Mg 0.000 0.000 0.000  0.00
2 Pa 0.500 0.500 0.500  1.04
3 Se 0.100 0.100 0.700  -0.03
4 Se 0.900 0.900 0.300  -0.03


Computed, not measured: crystalline Pm7Dy3 at its relaxed geometry at the PBE-GGA level of DFT.

Values from the calculation:
The calculation puts the total energy at -0.172 Ha/atom. The calculation puts the energy above the most stable polymorph in this dataset at 0.0 meV per atom. As for the formation energy: 0.014 eV/atom. As for the space group: No. 12.

Unit cell a=5.116 b=7.229 c=10.830 alpha=119.83 beta=103.66 gamma=90.00
Fractional coordinates of all 10 atoms:
1 Pm 0.000 0.500 0.000
2 Pm 0.200 0.300 0.400
3 Pm 0.800 0.700 0.600
4 Pm 0.399 0.100 0.799
5 Pm 0.601 0.900 0.201
6 Pm 0.400 0.600 0.800
7 Pm 0.600 0.400 0.200
8 Dy 0.000 0.000 0.000
9 Dy 0.201 0.801 0.401
10 Dy 0.799 0.199 0.599


Computed, not measured: crystalline La2Al3Zn4Ag at its relaxed geometry at the PBE-GGA level of DFT.

Values from the calculation:
The calculation puts the total energy at -0.120 Ha/atom. As for the formation energy: -0.373 eV/atom. As for the space group: No. 115.

Unit cell a=4.399 b=4.399 c=10.634 alpha=90.00 beta=90.00 gamma=90.00
Fractional coordinates of all 10 atoms:
1 La 0.500 0.000 0.243
2 La 0.000 0.500 0.757
3 Al 0.000 0.000 0.500
4 Al 0.500 0.000 0.870
5 Al 0.000 0.500 0.130
6 Zn 0.500 0.500 0.000
7 Zn 0.000 0.000 0.000
8 Zn 0.500 0.000 0.635
9 Zn 0.000 0.500 0.365
10 Ag 0.500 0.500 0.500


Computed, not measured: crystalline SbMo4 at its relaxed geometry at the PBE-GGA level of DFT.

Values from the calculation:
The calculation puts the total energy at -0.265 Ha/atom. The calculation puts the energy above the most stable polymorph in this dataset at 1655.4 meV per atom. For the energy relative to the elements, uncorrected, the calculation gives 2.269 eV/atom. As for the space group: No. 221.

Unit cell a=4.819 b=4.819 c=4.819 alpha=90.00 beta=90.00 gamma=90.00
Each line ends with the local moment (μB).
Fractional coordinates of all 5 atoms:
1 Sb 0.500 0.500 0.500  0.00
2 Mo 0.000 0.000 0.000  1.71
3 Mo 0.500 0.000 0.500  -0.63
4 Mo 0.000 0.500 0.500  -0.63
5 Mo 0.500 0.500 0.000  -0.63


Computed, not measured: crystalline AlInP2O at its relaxed geometry at the PBE-GGA level of DFT.

Values from the calculation:
The calculation puts the total energy at -0.175 Ha/atom. The calculation puts the energy above the most stable polymorph in this dataset at 0.0 meV per atom. For the energy relative to the elements, uncorrected, the calculation gives -0.304 eV/atom. As for the space group: No. 123.

Unit cell a=5.060 b=5.060 c=3.412 alpha=90.00 beta=90.00 gamma=90.00
Fractional coordinates of all 5 atoms:
1 P 0.000 0.500 0.000
2 P 0.500 0.000 0.000
3 Al 0.000 0.000 0.000
4 O 0.000 0.000 0.500
5 In 0.500 0.500 0.500


Computed, not measured: crystalline HfCoIN2 at its relaxed geometry at the PBE-GGA level of DFT.

Values from the calculation:
The calculation puts the total energy at -0.214 Ha/atom. The calculation puts the energy above the most stable polymorph in this dataset at 539.9 meV per atom. For the energy relative to the elements, uncorrected, the calculation gives 1.219 eV/atom. As for the space group: No. 123.

Unit cell a=3.961 b=3.961 c=4.790 alpha=90.00 beta=90.00 gamma=90.00
Each line ends with the local moment (μB).
Fractional coordinates of all 5 atoms:
1 I 0.000 0.000 0.500  0.04
2 Co 0.000 0.000 0.000  1.09
3 Hf 0.500 0.500 0.500  -0.07
4 N 0.000 0.500 0.000  0.34
5 N 0.500 0.000 0.000  0.34


Computed, not measured: crystalline TbTm6Th4 at its relaxed geometry at the PBE-GGA level of DFT.

Values from the calculation:
The calculation puts the total energy at -0.185 Ha/atom. The calculation puts the energy above the most stable polymorph in this dataset at 360.8 meV per atom. As for the formation energy: 0.524 eV/atom. As for the space group: No. 121.

Unit cell a=7.828 b=7.828 c=8.476 alpha=117.50 beta=117.50 gamma=90.00
Fractional coordinates of all 11 atoms:
1 Tb 0.500 0.500 0.000
2 Tm 0.933 0.425 0.358
3 Tm 0.425 0.933 0.358
4 Tm 0.575 0.575 0.642
5 Tm 0.000 0.500 0.000
6 Tm 0.067 0.067 0.642
7 Tm 0.500 0.000 0.000
8 Th 0.093 0.758 0.850
9 Th 0.907 0.907 0.150
10 Th 0.758 0.093 0.850
11 Th 0.242 0.242 0.150


Computed, not measured: crystalline LiLa2CdOs at its relaxed geometry at the PBE-GGA level of DFT.

Values from the calculation:
The calculation puts the total energy at -0.175 Ha/atom. The calculation puts the energy above the most stable polymorph in this dataset at 0.0 meV per atom. As for the formation energy: 0.012 eV/atom. As for the space group: No. 123.

Unit cell a=5.477 b=5.477 c=5.420 alpha=90.00 beta=90.00 gamma=90.00
Fractional coordinates of all 5 atoms:
1 Cd 0.000 0.000 0.500
2 Os 0.000 0.000 0.000
3 Li 0.500 0.500 0.500
4 La 0.000 0.500 0.000
5 La 0.500 0.000 0.000


Computed, not measured: crystalline NbTcAsSe2 at its relaxed geometry at the PBE-GGA level of DFT.

Values from the calculation:
The calculation puts the total energy at -0.205 Ha/atom. The calculation puts the energy above the most stable polymorph in this dataset at 116.7 meV per atom. For the energy relative to the elements, uncorrected, the calculation gives 0.846 eV/atom. As for the space group: No. 123.

Unit cell a=4.840 b=4.840 c=4.708 alpha=90.00 beta=90.00 gamma=90.00
Each line ends with the local moment (μB).
Fractional coordinates of all 5 atoms:
1 As 0.000 0.000 0.500  -0.02
2 Nb 0.500 0.500 0.500  -0.10
3 Tc 0.000 0.000 0.000  0.51
4 Se 0.000 0.500 0.000  0.03
5 Se 0.500 0.000 0.000  0.03


Across the entries above, Fermi-level density of states takes the values 0.3660; 0.7169; 1.1947; 1.4271; 0.6701; 1.9833; 0.9719; 0.8551; 1.3873; 0.9297; 1.5896 states/eV/atom, respectively.